# 1
DFT (PBE) results for a relaxed MnSiMo3 crystal.

Computed properties:
N(E_F): 6.05 states/eV/cell
energy: -41.28 eV per cell
energy above the lowest structure with this stoichiometry: 0 meV/atom
calculated density: 7.1 g/cm3
uncorrected formation energy: 1.16 eV per atom

Cell and atoms, written as POSCAR:
```
MnSiMo3
1.0
-2.7039 3.2881 1.2354
0.7568 -0.9771 4.2569
3.4300 2.8076 0.0346
Si Mo Mn
1 3 1
direct
0.5000 0.5000 0.5000
0.5000 0.0000 0.0000
0.0000 0.5000 0.0000
0.0000 0.0000 0.5000
0.0000 0.0000 0.0000
```


# 2
DFT (PBE) results for a relaxed TcAsPb crystal.

Computed properties:
N(E_F): 3.90 states/eV/cell
ΔH_f (0 K): 0.391 eV/atom
energy: -17.55 eV per cell
energy above the lowest structure with this stoichiometry: 403 meV/atom
calculated density: 10.1 g/cm3

Cell and atoms, written as POSCAR:
```
TcAsPb
1.0
-0.8117 3.5671 2.3077
-2.1955 -0.7619 -3.6481
-2.6887 -1.9178 2.0186
Pb As Tc
1 1 1
direct
0.6667 0.3333 0.3333
0.0000 0.0000 0.8333
0.3333 0.6667 0.8334
```


# 3
DFT (PBE) results for a relaxed RbHfP2S crystal.

Computed properties:
N(E_F): 4.73 states/eV/cell
energy: -28.02 eV per cell
energy above the lowest structure with this stoichiometry: 0 meV/atom
calculated density: 4.5 g/cm3
uncorrected formation energy: -0.43 eV per atom

Cell and atoms, written as POSCAR:
```
RbHfP2S
1.0
5.0839 0.0000 0.0000
0.0000 5.0839 0.0000
0.0000 0.0000 5.0729
S P Rb Hf
1 2 1 1
direct
0.0000 0.0000 0.5000
0.5000 0.0000 0.0000
0.0000 0.5000 0.0000
0.5000 0.5000 0.5000
0.0000 0.0000 0.0000
```